# 1
Tl2HgAu after structural relaxation, computed with GGA-PBE.

Properties
Its spin magnetization is 0.00 μB/f.u. The calculation puts the density of states at the Fermi level at 1.75 states/eV per cell. As for the formation energy: 1.560 kcal/mol of atoms.

Cell: 5.2821 5.2821 5.2821 Å, 60.00 60.00 60.00°
Last column: nearest neighbours and their distance in Å.
Fractional coordinates of all 4 atoms:
Tl 0.0000 0.0000 0.0000  4 Hg 3.23, 4 Tl 3.23
Tl 0.2500 0.2500 0.2500  4 Au 3.23, 4 Tl 3.23
Hg 0.7500 0.7500 0.7500  4 Tl 3.23, 4 Au 3.23
Au 0.5000 0.5000 0.5000  4 Hg 3.23, 4 Tl 3.23

=====

# 2
Zr2Be5Cu5 after structural relaxation, computed with GGA-PBE.

Properties
Its spin magnetization is 0.00 μB/f.u. The calculation puts the density of states at the Fermi level at 3.92 states/eV per cell. As for the formation energy: -4.497 kcal/mol of atoms.

Cell: 3.8263 4.6282 8.2822 Å, 90.00 90.00 90.00°
Last column: nearest neighbours and their distance in Å.
Fractional coordinates of all 12 atoms:
Zr 0.0000 0.0000 0.0000  10 Cu 2.75-3.00, 8 Be 3.06
Zr 0.0000 0.5000 0.5000  6 Cu 2.65-2.70
Be 0.5000 0.0000 0.5000  4 Be 2.34, 4 Cu 2.36
Be 0.5000 0.2487 0.2533  3 Be 2.30-2.34, 5 Cu 2.32-2.40
Be 0.5000 0.2487 0.7467  3 Be 2.30-2.34, 5 Cu 2.32-2.40
Be 0.5000 0.7513 0.2533  3 Be 2.30-2.34, 5 Cu 2.32-2.40
Be 0.5000 0.7513 0.7467  3 Be 2.30-2.34, 5 Cu 2.32-2.40
Cu 0.0000 0.0000 0.3332  6 Be 2.33-2.36
Cu 0.0000 0.0000 0.6668  6 Be 2.33-2.36
Cu 0.0000 0.5000 0.1799  4 Be 2.32, 2 Cu 2.42
Cu 0.0000 0.5000 0.8201  4 Be 2.32, 2 Cu 2.42
Cu 0.5000 0.5000 0.0000  4 Be 2.40, 4 Cu 2.42

=====

# 3
As2RuSeCl after structural relaxation, computed with GGA-PBE.

Properties
Its spin magnetization is 1.04 μB/f.u. The calculation puts the density of states at the Fermi level at 3.26 states/eV per cell. The value obtained for the raw formation energy is 1.0179 eV/atom.

Cell: 5.1091 5.1091 4.6749 Å, 90.00 90.00 90.00°
Last column: nearest neighbours and their distance in Å.
Fractional coordinates of all 5 atoms:
As 0.0000 0.5000 0.0000  2 Se 2.55
As 0.5000 0.0000 0.0000  2 Se 2.55
Ru 0.0000 0.0000 0.5000  2 Se 2.34
Se 0.0000 0.0000 0.0000  2 Ru 2.34, 4 As 2.55
Cl 0.5000 0.5000 0.5000  8 As 3.46, 4 Ru 3.61

=====

# 4
CsRbHg2Au after structural relaxation, computed with GGA-PBE.

Properties
Its spin magnetization is 0.00 μB/f.u. The calculation puts the density of states at the Fermi level at 3.25 states/eV per cell. As for the formation energy: -2.952 kcal/mol of atoms.

Cell: 5.6683 5.6683 6.3104 Å, 90.00 90.00 90.00°
Last column: nearest neighbours and their distance in Å.
Fractional coordinates of all 5 atoms:
Cs 0.0000 0.0000 0.0000  4 Rb 4.01, 8 Hg 4.24
Rb 0.5000 0.5000 0.0000  2 Au 3.16
Hg 0.0000 0.5000 0.5000  2 Au 2.83
Hg 0.5000 0.0000 0.5000  2 Au 2.83
Au 0.5000 0.5000 0.5000  4 Hg 2.83, 2 Rb 3.16

=====

# 5
BaBeOs after structural relaxation, computed with GGA-PBE.

Properties
Its spin magnetization is 0.00 μB/f.u. The calculation puts the density of states at the Fermi level at 2.07 states/eV per cell. As for the formation energy: 9.788 kcal/mol of atoms.

Cell: 6.0308 6.0308 6.0308 Å, 148.43 148.43 45.25°
Last column: nearest neighbours and their distance in Å.
Fractional coordinates of all 3 atoms:
Ba 0.0000 0.0000 0.0000  1 Be 2.89, 1 Os 3.07
Be 0.2591 0.2591 0.0000  4 Os 2.35
Os 0.7245 0.7245 0.0000  4 Be 2.35

=====

# 6
KMg2Tl3F9 after structural relaxation, computed with GGA-PBE.

Properties
Its spin magnetization is 0.00 μB/f.u. The calculation puts the density of states at the Fermi level at 3.99 states/eV per cell. The value obtained for the raw formation energy is -2.5460 eV/atom.

Cell: 5.8995 5.8995 8.1727 Å, 90.00 90.00 120.00°
Last column: nearest neighbours and their distance in Å.
Fractional coordinates of all 15 atoms:
K 0.0000 0.0000 0.0000  6 F 2.60
Mg 0.3333 0.6667 0.6410  6 F 1.96-2.06
Mg 0.6667 0.3333 0.3590  6 F 1.96-2.06
Tl 0.0000 0.0000 0.5000  12 F 2.72-2.95
Tl 0.3333 0.6667 0.2067  9 F 2.94-2.96
Tl 0.6667 0.3333 0.7933  9 F 2.94-2.96
F 0.0000 0.5000 0.5000  2 Mg 2.06
F 0.1667 0.3334 0.7601  1 Mg 1.96
F 0.1667 0.8333 0.7601  1 Mg 1.96
F 0.3334 0.1667 0.2399  1 Mg 1.96
F 0.5000 0.0000 0.5000  2 Mg 2.06
F 0.5000 0.5000 0.5000  2 Mg 2.06
F 0.6666 0.8333 0.7601  1 Mg 1.96
F 0.8333 0.1667 0.2399  1 Mg 1.96
F 0.8333 0.6666 0.2399  1 Mg 1.96

=====

Energy, respectively: -2.0103 -4.8790 -3.7633 -1.2684 -5.2018 -4.4278 eV per atom.